# 1
An optimized crystal structure of TaZnSe2, computed with PBEsol.

Values from the calculation:
Space-group type ... F-43m
ΔE_f (raw) ... 0.486 eV/atom

```
TaZnSe2
1.0
0.0000 3.2680 3.2680
3.2680 0.0000 3.2680
3.2680 3.2680 0.0000
Ta Zn Se
1 1 2
Direct
0.0000 0.0000 0.0000
0.7500 0.7500 0.7500
0.2500 0.2500 0.2500
0.5000 0.5000 0.5000
```



# 2
An optimized crystal structure of ZrTa2Se, computed with PBEsol.

Values from the calculation:
Space-group type ... Cmmm
ΔE_f (raw) ... 0.019 eV/atom

```
ZrTa2Se
1.0
2.8578 -3.7375 0.0000
2.8578 3.7375 0.0000
0.0000 0.0000 3.3495
Zr Ta Se
1 2 1
Direct
0.0000 0.0000 0.0000
0.0000 0.5000 0.5000
0.5000 0.0000 0.5000
0.5000 0.5000 0.0000
```



Which of these has the lowest ΔE_f (raw)? ZrTa2Se



Please write out number 1 again, unchanged.
An optimized crystal structure of TaZnSe2, computed with PBEsol.

Values from the calculation:
Space-group type ... F-43m
ΔE_f (raw) ... 0.486 eV/atom

```
TaZnSe2
1.0
0.0000 3.2680 3.2680
3.2680 0.0000 3.2680
3.2680 3.2680 0.0000
Ta Zn Se
1 1 2
Direct
0.0000 0.0000 0.0000
0.7500 0.7500 0.7500
0.2500 0.2500 0.2500
0.5000 0.5000 0.5000
```